Here is crystalline IrS2 at its relaxed geometry from the Alexandria database. Energies are from PBE.

Lattice parameters (Å, degrees): 3.6120 5.6850 20.0391 90.00 90.00 90.00
With the nearest neighbours (Å) after each atom.
Sites, in units of the cell vectors:
S (0.2500, 0.3207, 0.7629)  3 Ir 2.31-2.35, 1 S 2.38
S (0.7500, 0.6793, 0.2371)  3 Ir 2.31-2.35, 1 S 2.38
S (0.2500, 0.5464, 0.6235)  3 Ir 2.35-2.39
S (0.7500, 0.8207, 0.7371)  3 Ir 2.31-2.35, 1 S 2.38
S (0.2500, 0.5641, 0.8594)  3 Ir 2.34-2.41, 1 S 2.38
S (0.7500, 0.7784, 0.5090)  3 Ir 2.41-2.42
S (0.7500, 0.7216, 0.0090)  3 Ir 2.41-2.42
S (0.2500, 0.2784, 0.9910)  3 Ir 2.41-2.42
S (0.2500, 0.1793, 0.2629)  3 Ir 2.31-2.35, 1 S 2.38
S (0.2500, 0.9359, 0.3594)  3 Ir 2.34-2.41, 1 S 2.38
S (0.7500, 0.0464, 0.8765)  3 Ir 2.35-2.39
S (0.2500, 0.2216, 0.4910)  3 Ir 2.41-2.42
S (0.2500, 0.9536, 0.1235)  3 Ir 2.35-2.39
S (0.7500, 0.4359, 0.1406)  3 Ir 2.34-2.41, 1 S 2.38
S (0.7500, 0.0641, 0.6406)  3 Ir 2.34-2.41, 1 S 2.38
S (0.7500, 0.4536, 0.3765)  3 Ir 2.35-2.39
Ir (0.7500, 0.4410, 0.6960)  6 S 2.31-2.41
Ir (0.7500, 0.0727, 0.4226)  6 S 2.34-2.42
Ir (0.2500, 0.9273, 0.5774)  6 S 2.34-2.42
Ir (0.2500, 0.5727, 0.0774)  6 S 2.34-2.42
Ir (0.7500, 0.4273, 0.9226)  6 S 2.34-2.42
Ir (0.2500, 0.9410, 0.8040)  6 S 2.31-2.41
Ir (0.7500, 0.0590, 0.1960)  6 S 2.31-2.41
Ir (0.2500, 0.5590, 0.3040)  6 S 2.31-2.41

## Properties
**Volume**: 411.5 Å³/cell
**Symmetry**: Pnma
**Formation energy (no corrections)**: -0.393 eV per atom